# Ca4N2F

Ca4N2F after structural relaxation (PBE-GGA, Alexandria via LeMat-Bulk).

Cell: 3.6289 12.2857 12.4810 Å, 90.00 90.00 90.00°
Last column: nearest neighbours and their distance in Å.
Space group Cmcm (No. 63)
Symmetry-distinct sites (fractional):
Ca 0.0000 0.0000 0.0000 x4  4 N 2.57
Ca 0.0000 0.2538 0.1010 x8  3 N 2.39-2.44
Ca 0.0000 0.4365 0.7500 x4  2 F 2.26, 2 N 2.52
N 0.0000 0.3659 0.5608 x8  6 Ca 2.39-2.57
F 0.0000 0.0455 0.7500 x4  2 Ca 2.26

Values from the calculation:
Spin magnetization in Bohr magnetons per cell: 2.2
Fermi-level density of states in states/eV per cell: 5.20
VASP energy in eV per atom: -5.08
Volume in A^3/atom: 19.9
Energy relative to the elements, uncorrected in eV/atom: -1.29

# MgSc2SiMo

MgSc2SiMo after structural relaxation (PBE-GGA, Alexandria via LeMat-Bulk).

Cell: 4.9436 4.9436 4.4428 Å, 90.00 90.00 90.00°
Last column: nearest neighbours and their distance in Å.
Space group P4/mmm (No. 123)
Symmetry-distinct sites (fractional):
Mg 0.0000 0.0000 0.0000 x1  2 Si 2.22, 4 Sc 2.47
Sc 0.0000 0.5000 0.0000 x2  2 Mg 2.47
Si 0.0000 0.0000 0.5000 x1  2 Mg 2.22
Mo 0.5000 0.5000 0.5000 x1  8 Sc 3.32, 4 Si 3.50

Values from the calculation:
Spin magnetization in Bohr magnetons per cell: 0.1
Fermi-level density of states in states/eV per cell: 4.98
VASP energy in eV per atom: -4.81
Volume in A^3/atom: 21.7
Energy relative to the elements, uncorrected in eV/atom: 1.29

# Tb2ZnCu

Tb2ZnCu after structural relaxation (PBE-GGA, Alexandria via LeMat-Bulk).

Cell: 3.7658 3.7658 24.2113 Å, 90.00 90.00 120.00°
Last column: nearest neighbours and their distance in Å.
Space group R-3m (No. 166, hexagonal axes)
Symmetry-distinct sites (fractional):
Tb 0.0000 0.0000 0.2445 x6  3 Cu 2.88, 3 Zn 3.06
Zn 0.0000 0.0000 0.0000 x3  6 Tb 3.06
Cu 0.0000 0.0000 0.5000 x3  6 Tb 2.88

Values from the calculation:
Spin magnetization in Bohr magnetons per cell: 0.0
Calculated formation energy in eV per atom: -0.038
Fermi-level density of states in states/eV per cell: 18.89
VASP energy in eV per atom: -3.70
Volume in A^3/atom: 24.8

# CrPd3N

CrPd3N after structural relaxation (PBE-GGA, Alexandria via LeMat-Bulk).

Cell: 4.6311 4.6311 4.6311 Å, 90.00 90.00 90.00°
Last column: nearest neighbours and their distance in Å.
Space group Pm-3m (No. 221)
Symmetry-distinct sites (fractional):
Cr 0.0000 0.0000 0.0000 x1  6 Pd 2.32
Pd 0.0000 0.0000 0.5000 x3  2 Cr 2.32
N 0.5000 0.5000 0.5000 x1  12 Pd 3.27

Values from the calculation:
Spin magnetization in Bohr magnetons per cell: 0.2
Fermi-level density of states in states/eV per cell: 5.54
VASP energy in eV per atom: -4.77
Volume in A^3/atom: 19.9
Energy relative to the elements, uncorrected in eV/atom: 1.94

# PuUF6

PuUF6 after structural relaxation (PBE-GGA, Alexandria via LeMat-Bulk).

Cell: 5.9326 8.6219 5.9730 Å, 90.00 100.60 90.00°
Last column: nearest neighbours and their distance in Å.
Space group C2/m (No. 12)
Symmetry-distinct sites (fractional):
Pu 0.0000 0.0000 0.0000 x2  6 F 2.33-2.39
U 0.0000 0.5000 0.5000 x2  6 F 2.25-2.30
F 0.2414 0.3408 0.7424 x8  1 U 2.30, 1 Pu 2.39
F 0.2425 0.5000 0.2517 x4  1 U 2.25, 1 Pu 2.33

Values from the calculation:
Spin magnetization in Bohr magnetons per cell: 16.0
Fermi-level density of states in states/eV per cell: 26.17
VASP energy in eV per atom: -8.04
Volume in A^3/atom: 18.8
Energy relative to the elements, uncorrected in eV/atom: -3.43

# BeFe2Pd8

BeFe2Pd8 after structural relaxation (PBE-GGA, Alexandria via LeMat-Bulk).

Cell: 13.9358 4.3852 5.6363 Å, 90.00 111.92 90.00°
Last column: nearest neighbours and their distance in Å.
Space group C2/m (No. 12)
Symmetry-distinct sites (fractional):
Be 0.0000 0.0000 0.0000 x2  4 Pd 2.25-2.27
Fe 0.1866 0.5000 0.6817 x4  9 Pd 2.61-2.75
Pd 0.0118 0.5000 0.7560 x4  1 Fe 2.62, 2 Be 2.63, 8 Pd 2.78-2.89
Pd 0.1188 0.0000 0.4058 x4  1 Be 2.27
Pd 0.1437 0.0000 0.9091 x4  1 Be 2.25
Pd 0.1849 0.5000 0.2173 x4  3 Fe 2.61-2.75, 8 Pd 2.72-2.81

Values from the calculation:
Spin magnetization in Bohr magnetons per cell: 16.3
Calculated formation energy in eV per atom: -0.135
Fermi-level density of states in states/eV per cell: 14.51
VASP energy in eV per atom: -5.79
Volume in A^3/atom: 14.5